Entry from Alexandria: a geometry-optimized PmCuPb structure (PBE-GGA).

Unit cell a=3.953 b=4.471 c=8.716 alpha=89.79 beta=77.21 gamma=89.46
Fractional positions:
1 Pm 0.090 0.250 0.319
2 Pm 0.910 0.750 0.681
3 Cu 0.462 0.250 0.578
4 Cu 0.538 0.750 0.422
5 Pb 0.293 0.250 0.916
6 Pb 0.707 0.750 0.084

Output
Its calculated formation energy is -258 meV/atom. As for the relative energy among the computed polymorphs: 170 meV/atom. Its total moment is 0.00 μB per cell. For the density of states at the Fermi level, the calculation gives 0.783 states/eV per atom.